Record 1
Material: La2Pr12Er5
Method: DFT, GGA-PBE
State: relaxed

Cell: 10.1416 9.6061 8.1231 Å, 89.35 90.00 121.86°
Element x y z (fractional)
1 La 0.7828 0.0000 0.0000
2 La 0.2172 0.0000 0.0000
3 Pr 0.8368 0.6737 0.1251
4 Pr 0.0385 0.6191 0.7904
5 Pr 0.5805 0.6191 0.7904
6 Pr 0.1670 0.7883 0.3881
7 Pr 0.6213 0.7883 0.3881
8 Pr 0.4485 0.8969 0.7148
9 Pr 0.5515 0.1031 0.2852
10 Pr 0.8330 0.2117 0.6119
11 Pr 0.3787 0.2117 0.6119
12 Pr 0.9615 0.3809 0.2096
13 Pr 0.4195 0.3809 0.2096
14 Pr 0.1632 0.3263 0.8749
15 Er 0.2479 0.4959 0.5085
16 Er 0.3519 0.7037 0.0847
17 Er 0.0000 0.0000 0.5000
18 Er 0.6481 0.2963 0.9153
19 Er 0.7521 0.5041 0.4915

Values from the calculation:
- E_tot (eV per atom) = -4.615

Record 2
Material: LaPrEr6
Method: DFT, GGA-PBE
State: relaxed

Cell: 5.0443 5.0443 10.0885 Å, 90.00 90.00 90.00°
Element x y z (fractional)
1 La 0.0000 0.0000 0.0000
2 Pr 0.0000 0.0000 0.5000
3 Er 0.5000 0.5000 0.0000
4 Er 0.5000 0.5000 0.5000
5 Er 0.5000 0.0000 0.2518
6 Er 0.5000 0.0000 0.7482
7 Er 0.0000 0.5000 0.2518
8 Er 0.0000 0.5000 0.7482

Values from the calculation:
- E_tot (eV per atom) = -4.603

Record 3
Material: La8Pr2Er3
Method: DFT, GGA-PBE
State: relaxed

Cell: 5.8130 7.7526 11.1506 Å, 110.34 90.03 90.00°
Element x y z (fractional)
1 La 0.0012 0.6725 0.3450
2 La 0.9988 0.3275 0.6550
3 La 0.9991 0.1293 0.2586
4 La 0.0009 0.8707 0.7414
5 La 0.4999 0.5968 0.7950
6 La 0.4999 0.1982 0.7950
7 La 0.5001 0.8018 0.2050
8 La 0.5001 0.4032 0.2050
9 Pr 0.4983 0.2401 0.4802
10 Pr 0.5017 0.7599 0.5198
11 Er 0.5000 0.0000 0.0000
12 Er 0.0000 0.2820 0.0000
13 Er 0.0000 0.7180 0.0000

Values from the calculation:
- E_tot (eV per atom) = -4.651

Record 4
Material: La15Pr4Er
Method: DFT, GGA-PBE
State: relaxed

Cell: 5.2448 5.2448 26.3313 Å, 90.00 90.00 90.00°
Element x y z (fractional)
1 La 0.5000 0.5000 0.0000
2 La 0.5000 0.5000 0.1987
3 La 0.5000 0.5000 0.3998
4 La 0.5000 0.5000 0.6002
5 La 0.5000 0.5000 0.8013
6 La 0.5000 0.0000 0.0983
7 La 0.5000 0.0000 0.2990
8 La 0.5000 0.0000 0.5000
9 La 0.5000 0.0000 0.7010
10 La 0.5000 0.0000 0.9017
11 La 0.0000 0.5000 0.0983
12 La 0.0000 0.5000 0.2990
13 La 0.0000 0.5000 0.5000
14 La 0.0000 0.5000 0.7010
15 La 0.0000 0.5000 0.9017
16 Pr 0.0000 0.0000 0.1986
17 Pr 0.0000 0.0000 0.3997
18 Pr 0.0000 0.0000 0.6003
19 Pr 0.0000 0.0000 0.8014
20 Er 0.0000 0.0000 0.0000

Values from the calculation:
- E_tot (eV per atom) = -4.870

Record 5
Material: La2PrEr
Method: DFT, GGA-PBE
State: relaxed

Cell: 3.6902 3.6902 12.0847 Å, 81.22 81.22 60.00°
Element x y z (fractional)
1 La 0.7477 0.7477 0.7568
2 La 0.2523 0.2523 0.2432
3 Pr 0.5000 0.5000 0.5000
4 Er 0.0000 0.0000 0.0000

Values from the calculation:
- E_tot (eV per atom) = -4.784

Record 6
Material: LaPr7Er4
Method: DFT, GGA-PBE
State: relaxed

Cell: 7.3590 6.3764 11.6678 Å, 79.52 50.93 90.01°
Element x y z (fractional)
1 La 0.0000 0.0000 0.0000
2 Pr 0.7420 0.4998 0.0032
3 Pr 0.2580 0.5002 0.9968
4 Pr 0.0841 0.2811 0.6632
5 Pr 0.9159 0.7189 0.3368
6 Pr 0.3354 0.7763 0.6647
7 Pr 0.5000 0.0000 0.0000
8 Pr 0.6646 0.2237 0.3353
9 Er 0.4084 0.7229 0.3350
10 Er 0.5916 0.2771 0.6650
11 Er 0.8365 0.7825 0.6634
12 Er 0.1635 0.2175 0.3366

Values from the calculation:
- E_tot (eV per atom) = -4.715

Record 7
Material: La3Pr4Er4
Method: DFT, GGA-PBE
State: relaxed

Cell: 5.8041 6.7513 10.9485 Å, 90.00 90.00 115.46°
Element x y z (fractional)
1 La 0.4144 0.8289 0.2855
2 La 0.4144 0.8289 0.7145
3 La 0.2512 0.5025 0.0000
4 Pr 0.7476 0.4953 0.7835
5 Pr 0.7476 0.4953 0.2165
6 Pr 0.8826 0.7652 0.5000
7 Pr 0.9569 0.9137 0.0000
8 Er 0.6094 0.2187 0.5000
9 Er 0.5582 0.1163 0.0000
10 Er 0.1080 0.2161 0.6911
11 Er 0.1080 0.2161 0.3089

Values from the calculation:
- E_tot (eV per atom) = -4.592

Record 8
Material: La2Pr4Er5
Method: DFT, GGA-PBE
State: relaxed

Cell: 3.5651 11.8593 9.0752 Å, 94.58 101.33 90.00°
Element x y z (fractional)
1 La 0.7139 0.3502 0.4278
2 La 0.2861 0.6498 0.5722
3 Pr 0.3586 0.2010 0.7173
4 Pr 0.9649 0.7443 0.9297
5 Pr 0.6414 0.7990 0.2827
6 Pr 0.0351 0.2557 0.0703
7 Er 0.9061 0.4583 0.8123
8 Er 0.0939 0.5417 0.1877
9 Er 0.8230 0.9350 0.6460
10 Er 0.5000 0.0000 0.0000
11 Er 0.1770 0.0650 0.3540

Values from the calculation:
- E_tot (eV per atom) = -4.631

Record 9
Material: La7PrEr2
Method: DFT, GGA-PBE
State: relaxed

Cell: 5.8714 9.2571 9.2572 Å, 120.99 90.00 90.00°
Element x y z (fractional)
1 La 0.0000 0.7609 0.2391
2 La 0.0000 0.2391 0.7609
3 La 0.5000 0.0655 0.2993
4 La 0.5000 0.9345 0.7007
5 La 0.5000 0.2993 0.0655
6 La 0.5000 0.7007 0.9345
7 La 0.5000 0.5000 0.5000
8 Pr 0.0000 0.0000 0.0000
9 Er 0.5000 0.7035 0.2965
10 Er 0.5000 0.2965 0.7035

Values from the calculation:
- E_tot (eV per atom) = -4.250

Record 10
Material: La4Pr10Er
Method: DFT, GGA-PBE
State: relaxed

Cell: 8.0526 9.2326 9.2326 Å, 79.04 64.15 64.15°
Element x y z (fractional)
1 La 0.2268 0.9993 0.5470
2 La 0.7738 0.4530 0.9993
3 La 0.2262 0.5470 0.0007
4 La 0.7732 0.0007 0.4530
5 Pr 0.2500 0.5000 0.5000
6 Pr 0.7110 0.2103 0.7895
7 Pr 0.0787 0.2105 0.2103
8 Pr 0.4994 0.7895 0.7897
9 Pr 0.7109 0.7897 0.2105
10 Pr 0.2890 0.7897 0.2105
11 Pr 0.7500 0.5000 0.5000
12 Pr 0.2891 0.2103 0.7895
13 Pr 0.5006 0.2105 0.2103
14 Pr 0.9213 0.7895 0.7897
15 Er 0.0000 0.0000 0.0000

Values from the calculation:
- E_tot (eV per atom) = -4.601

Record 11
Material: La3Pr4Er4
Method: DFT, GGA-PBE
State: relaxed

Cell: 3.6634 5.1706 20.1688 Å, 97.34 95.20 90.04°
Element x y z (fractional)
1 La 0.6371 0.6373 0.2745
2 La 0.3629 0.3627 0.7255
3 La 0.0000 0.0000 0.0000
4 Pr 0.5467 0.5467 0.0935
5 Pr 0.4532 0.4532 0.9064
6 Pr 0.8163 0.8163 0.6324
7 Pr 0.1837 0.1837 0.3676
8 Er 0.0916 0.0916 0.1832
9 Er 0.2717 0.2717 0.5434
10 Er 0.7283 0.7283 0.4567
11 Er 0.9083 0.9084 0.8167

Values from the calculation:
- E_tot (eV per atom) = -4.720

Record 12
Material: La12PrEr5
Method: DFT, GGA-PBE
State: relaxed

Cell: 11.5676 10.7945 6.0412 Å, 90.00 90.00 57.60°
Element x y z (fractional)
1 La 0.8442 0.0000 0.5000
2 La 0.1558 0.0000 0.5000
3 La 0.6616 0.0000 0.9996
4 La 0.3384 0.0000 0.0004
5 La 0.3280 0.6536 0.0004
6 La 0.0183 0.6537 0.9996
7 La 0.9817 0.3463 0.0004
8 La 0.6720 0.3464 0.9996
9 La 0.4899 0.3352 0.4998
10 La 0.8250 0.6648 0.4998
11 La 0.1750 0.3352 0.5002
12 La 0.5101 0.6648 0.5002
13 Pr 0.0000 0.0000 0.0000
14 Er 0.5000 0.0000 0.5000
15 Er 0.1659 0.6681 0.5000
16 Er 0.8341 0.3319 0.5000
17 Er 0.6614 0.6772 0.0000
18 Er 0.3386 0.3228 0.0000

Values from the calculation:
- E_tot (eV per atom) = -4.724

Record 13
Material: La3PrEr
Method: DFT, GGA-PBE
State: relaxed

Cell: 8.2140 10.4334 6.3880 Å, 114.14 130.26 89.77°
Element x y z (fractional)
1 La 0.5971 0.6025 0.3970
2 La 0.7969 0.2961 0.1966
3 La 0.4029 0.3975 0.6030
4 La 0.2007 0.1974 0.8015
5 La 0.2031 0.7039 0.8034
6 La 0.7993 0.8026 0.1985
7 Pr 0.0000 0.5000 0.0000
8 Pr 0.0000 0.0000 0.0000
9 Er 0.4029 0.9040 0.6036
10 Er 0.5971 0.0960 0.3964

Values from the calculation:
- E_tot (eV per atom) = -4.808

Record 14
Material: LaPrEr2
Method: DFT, GGA-PBE
State: relaxed

Cell: 5.7656 5.7656 5.7656 Å, 60.00 60.00 60.00°
Element x y z (fractional)
1 Pr 0.0000 0.0000 0.0000
2 La 0.5000 0.5000 0.5000
3 Er 0.2500 0.2500 0.2500
4 Er 0.7500 0.7500 0.7500

Values from the calculation:
- E_tot (eV per atom) = -4.621

Record 15
Material: La3PrEr
Method: DFT, GGA-PBE
State: relaxed

Cell: 8.2238 8.2238 6.3269 Å, 90.00 90.00 58.90°
Element x y z (fractional)
1 La 0.6000 0.1952 0.2500
2 La 0.1952 0.6000 0.2500
3 La 0.8048 0.4000 0.7500
4 La 0.4000 0.8048 0.7500
5 La 0.0000 0.0000 0.0000
6 La 0.0000 0.0000 0.5000
7 Pr 0.1997 0.1997 0.2500
8 Pr 0.8003 0.8003 0.7500
9 Er 0.6709 0.6709 0.2500
10 Er 0.3291 0.3291 0.7500

Values from the calculation:
- E_tot (eV per atom) = -4.531

Record 16
Material: La8Pr2Er
Method: DFT, GGA-PBE
State: relaxed

Cell: 5.8116 8.3427 9.7282 Å, 115.38 107.38 90.00°
Element x y z (fractional)
1 La 0.6342 0.8367 0.2684
2 La 0.3660 0.5681 0.7319
3 La 0.1582 0.1584 0.3164
4 La 0.0000 0.2899 0.9999
5 La 0.8418 0.8416 0.6836
6 La 0.6340 0.4319 0.2681
7 La 0.3658 0.1633 0.7316
8 La 0.0000 0.7101 0.0001
9 Pr 0.2022 0.7019 0.4044
10 Pr 0.7978 0.2981 0.5956
11 Er 0.5000 0.0000 0.0000

Values from the calculation:
- E_tot (eV per atom) = -4.770

Record 17
Material: La6PrEr
Method: DFT, GGA-PBE
State: relaxed

Cell: 5.2212 5.2212 10.4632 Å, 90.00 90.00 90.00°
Element x y z (fractional)
1 La 0.5000 0.5000 0.0000
2 La 0.5000 0.5000 0.5000
3 La 0.5000 0.0000 0.2522
4 La 0.5000 0.0000 0.7478
5 La 0.0000 0.5000 0.2522
6 La 0.0000 0.5000 0.7478
7 Pr 0.0000 0.0000 0.0000
8 Er 0.0000 0.0000 0.5000

Values from the calculation:
- E_tot (eV per atom) = -4.856

Record 18
Material: La2Pr8Er
Method: DFT, GGA-PBE
State: relaxed

Cell: 6.5602 9.6453 9.6453 Å, 42.89 72.11 72.11°
Element x y z (fractional)
1 La 0.8857 0.7110 0.7110
2 La 0.1143 0.2890 0.2890
3 Pr 0.3155 0.3326 0.8729
4 Pr 0.6845 0.1271 0.6674
5 Pr 0.3143 0.7936 0.7936
6 Pr 0.6857 0.2064 0.2064
7 Pr 0.3155 0.8729 0.3326
8 Pr 0.6845 0.6674 0.1271
9 Pr 0.7460 0.5580 0.5580
10 Pr 0.2540 0.4420 0.4420
11 Er 0.0000 0.0000 0.0000

Values from the calculation:
- E_tot (eV per atom) = -4.645

Record 19
Material: La5Pr3Er2
Method: DFT, GGA-PBE
State: relaxed

Cell: 10.2581 10.2865 11.4586 Å, 129.54 129.49 65.20°
Element x y z (fractional)
1 La 0.2725 0.5225 0.0449
2 La 0.7275 0.4775 0.9551
3 La 0.0260 0.7760 0.5521
4 La 0.5200 0.2701 0.5401
5 La 0.9740 0.2240 0.4479
6 La 0.4800 0.7299 0.4599
7 La 0.8785 0.6337 0.7530
8 La 0.1215 0.3663 0.2470
9 La 0.3745 0.1193 0.7530
10 La 0.6255 0.8807 0.2470
11 Pr 0.2316 0.9816 0.9632
12 Pr 0.7684 0.0184 0.0368
13 Pr 0.7188 0.4737 0.2508
14 Pr 0.2812 0.5263 0.7492
15 Pr 0.0319 0.7771 0.2508
16 Pr 0.9681 0.2229 0.7492
17 Er 0.7788 0.0322 0.7520
18 Er 0.2212 0.9678 0.2480
19 Er 0.4732 0.7198 0.7520
20 Er 0.5268 0.2802 0.2480

Values from the calculation:
- E_tot (eV per atom) = -4.667

Record 20
Material: La3Pr4Er
Method: DFT, GGA-PBE
State: relaxed

Cell: 3.7218 6.4255 15.4677 Å, 128.50 96.91 90.00°
Element x y z (fractional)
1 La 0.0000 0.5000 0.0000
2 La 0.2506 0.2516 0.5011
3 La 0.7494 0.7484 0.4989
4 Pr 0.6245 0.0401 0.2490
5 Pr 0.3755 0.9599 0.7510
6 Pr 0.8768 0.4632 0.7535
7 Pr 0.1232 0.5368 0.2465
8 Er 0.5000 0.0000 0.0000

Values from the calculation:
- E_tot (eV per atom) = -4.804

Formation enthalpy at 0 K per entry: 0.123, 0.032, 0.170, 0.009, 0.015, 0.004, 0.149, 0.077, 0.590, 0.204, 0.022, 0.094, 0.017, 0.087, 0.293, 0.097, 0.008, 0.142, 0.143, 0.004 eV per atom